A plane-wave DFT calculation with PBE with a Hubbard U was carried out for crystalline VWO2 at its relaxed geometry.

Its energy above the lowest structure with this stoichiometry is 0.000 kcal/mol of atoms. As for the density of states at the Fermi level: 8.2 states/eV/cell. As for the calculated total energy: -7.31 eV/atom.

a = 3.1225 Å, b = 3.1225 Å, c = 18.5738 Å
α = 90.00°, β = 90.00°, γ = 120.00°
Space group R-3m (No. 166, hexagonal axes)
Unique sites:
V1 0.0000 0.0000 0.0000 x3
W1 0.0000 0.0000 0.5000 x3
O1 0.0000 0.0000 0.3958 x6